This record from Alexandria via LeMat-Bulk describes a crystal of Ho2WO6 relaxed with PBEsol. The functional is SCAN.

## Properties
size of the total moment	0.0000	μB per atom
crystal system	monoclinic
energy above the lowest structure with this stoichiometry	0.000	eV per atom
symmetry	P2/c, No. 13
electronic total energy	-940.2	eV/cell
density of states at the Fermi level	0.00	states/eV per cell

a = 5.2914 Å, b = 7.5690 Å, c = 11.2565 Å
α = 104.78°, β = 90.00°, γ = 90.00°
Closest atoms and distances in Å follow each position.
Element x y z (fractional)
Ho 0.2618 0.0000 0.7500  8 O 2.24-2.49
Ho 0.7382 0.0000 0.2500  8 O 2.24-2.49
Ho 0.8167 0.7964 0.9222  7 O 2.22-2.36
Ho 0.1833 0.7964 0.4222  7 O 2.22-2.36
Ho 0.3189 0.5000 0.7500  8 O 2.29-2.41
Ho 0.6811 0.5000 0.2500  8 O 2.29-2.41
Ho 0.8167 0.2036 0.5778  7 O 2.22-2.36
Ho 0.1833 0.2036 0.0778  7 O 2.22-2.36
W 0.7455 0.7221 0.6141  6 O 1.85-2.05
W 0.2545 0.7221 0.1141  6 O 1.85-2.05
W 0.7455 0.2779 0.8859  6 O 1.85-2.05
W 0.2545 0.2779 0.3859  6 O 1.85-2.05
O 0.9611 0.9376 0.6031  1 W 2.02, 2 Ho 2.24-2.26
O 0.4718 0.8515 0.5701  1 W 1.88
O 0.0389 0.9376 0.1031  1 W 2.02, 2 Ho 2.24-2.26
O 0.5374 0.7868 0.7726  1 W 2.05, 2 Ho 2.23-2.24
O 0.5282 0.8515 0.0701  1 W 1.88
O 0.0179 0.7121 0.7297  1 W 1.96
O 0.4626 0.7868 0.2726  1 W 2.05, 2 Ho 2.23-2.24
O 0.1543 0.6320 0.9501  1 W 1.87
O 0.6427 0.4877 0.6130  1 W 1.85
O 0.9821 0.7121 0.2297  1 W 1.96
O 0.6427 0.5123 0.8870  1 W 1.85
O 0.1543 0.3680 0.5499  1 W 1.87
O 0.8457 0.6320 0.4501  1 W 1.87
O 0.3573 0.4877 0.1130  1 W 1.85
O 0.0179 0.2879 0.7703  1 W 1.96
O 0.3573 0.5123 0.3870  1 W 1.85
O 0.8457 0.3680 0.0499  1 W 1.87
O 0.5374 0.2132 0.7274  1 W 2.05, 2 Ho 2.23-2.24
O 0.9821 0.2879 0.2703  1 W 1.96
O 0.4718 0.1485 0.9299  1 W 1.88
O 0.4626 0.2132 0.2274  1 W 2.05, 2 Ho 2.23-2.24
O 0.9611 0.0624 0.8969  1 W 2.02, 2 Ho 2.24-2.26
O 0.5282 0.1485 0.4299  1 W 1.88
O 0.0389 0.0624 0.3969  1 W 2.02, 2 Ho 2.24-2.26